DFT (PBE-GGA) results for a relaxed ZnSi2Ni crystal.

Summary:
space group = C2/m, No. 12
total magnetic moment = 0.000 μB/f.u.
energy relative to the elements, uncorrected = -0.022 eV/atom

Unit cell a=4.115 b=4.115 c=4.992 alpha=101.28 beta=101.28 gamma=40.85
Fractional positions:
Zn 0.000 0.000 0.000
Si 0.240 0.240 0.715
Si 0.760 0.760 0.285
Ni 0.500 0.500 0.500